This record from Alexandria via LeMat-Bulk describes Mg2In after structural relaxation. The functional is PBE.

abc: 5.0891 5.0891 3.1758
angles: 90.00 90.00 120.00
Space group P6/mmm (No. 191)
Asymmetric unit:
Mg1 0.3333 0.6667 0.0000
In1 0.0000 0.0000 0.5000

Output
Total energy   -1.930 eV per atom
Crystal system   hexagonal



This record from Alexandria via LeMat-Bulk describes ScZn2CdAu2 after structural relaxation. The functional is PBE.

abc: 4.5302 4.5302 6.1772
angles: 90.00 90.00 120.00
Space group P-3m1 (No. 164)
Asymmetric unit:
Sc1 0.0000 0.0000 0.0000
Zn1 0.3333 0.6667 0.2507
Cd1 0.0000 0.0000 0.5000
Au1 0.3333 0.6667 0.7625

Output
Total energy   -3.154 eV per atom
Crystal system   trigonal



This record from Alexandria via LeMat-Bulk describes DyPaSeN2 after structural relaxation. The functional is PBE.

abc: 3.8987 3.8987 12.1845
angles: 90.00 90.00 90.00
Space group I4mm (No. 107)
Asymmetric unit:
Dy1 0.0000 0.0000 0.0000
Pa1 0.0000 0.0000 0.3198
Se1 0.0000 0.0000 0.6588
N1 0.0000 0.5000 0.4008

Output
Total energy   -8.641 eV per atom
Crystal system   tetragonal



This record from Alexandria via LeMat-Bulk describes Pm2HoTm5 after structural relaxation. The functional is PBE.

abc: 7.0648 14.1302 4.9898
angles: 90.00 90.00 90.00
Space group Pbam (No. 55)
Asymmetric unit:
Pm1 0.2494 0.1252 0.0000
Ho1 0.0000 0.5000 0.5000
Tm1 0.0000 0.0000 0.5000
Tm2 0.9996 0.2499 0.5000
Tm3 0.2496 0.3749 0.0000

Output
Excess energy over the best structure of this formula in the dataset   0 meV/atom
Total energy   -4.530 eV per atom
Crystal system   orthorhombic



This record from Alexandria via LeMat-Bulk describes PaGeIrPd after structural relaxation. The functional is PBE.

abc: 3.8903 3.8903 10.1551
angles: 90.00 90.00 90.00
Space group P4/nmm (No. 129, origin choice 2)
Asymmetric unit:
Pa1 0.2500 0.2500 0.1936
Ge1 0.2500 0.2500 0.6547
Ir1 0.2500 0.2500 0.9037
Pd1 0.2500 0.7500 0.5000

Output
Total energy   -7.635 eV per atom
Crystal system   tetragonal



This record from Alexandria via LeMat-Bulk describes Sm6Mg2Ru after structural relaxation. The functional is PBE.

abc: 6.8905 5.0963 8.4321
angles: 90.00 114.07 90.00
Space group P2/m (No. 10)
Asymmetric unit:
Sm1 0.1042 0.0000 0.2088
Sm2 0.2406 0.5000 0.5001
Sm3 0.3955 0.0000 0.7912
Mg1 0.2536 0.5000 0.0065
Ru1 0.0000 0.0000 0.5000

Output
Total energy   -4.507 eV per atom
Crystal system   monoclinic



This record from Alexandria via LeMat-Bulk describes KIn3Rh after structural relaxation. The functional is PBE.

abc: 5.7889 5.7889 5.7889
angles: 90.00 90.00 90.00
Space group Pm-3m (No. 221)
Asymmetric unit:
K1 0.0000 0.0000 0.0000
In1 0.0000 0.0000 0.5000
Rh1 0.5000 0.5000 0.5000

Output
Excess energy over the best structure of this formula in the dataset   1740 meV/atom
Total energy   -1.825 eV per atom
Crystal system   cubic



This record from Alexandria via LeMat-Bulk describes VTc2H after structural relaxation. The functional is PBE.

abc: 3.7188 3.7188 16.6474
angles: 90.00 90.00 120.00
Space group R-3m (No. 166, hexagonal axes)
Asymmetric unit:
V1 0.0000 0.0000 0.0000
Tc1 0.0000 0.0000 0.3948
H1 0.0000 0.0000 0.5000

Output
Excess energy over the best structure of this formula in the dataset   685 meV/atom
Total energy   -7.472 eV per atom
Crystal system   trigonal



Computed size of the total moment, in the same sequence as the records: 0.00, 0.00, 0.00, 0.00, 0.00, 0.00, 0.63, 0.00 μB per cell.